# 1
KGeIr2W PBE relaxed; formation enthalpy at 0 K = 4.7 eV per formula unit; total magnetic moment = 0.0 μB per cell
1.0
-0.173 2.381 4.244
2.578 -3.695 2.178
4.170 2.262 -1.099
Ge Ir K W
1 2 1 1
Direct
0.000 0.500 0.000 Ge
0.000 0.000 0.500 Ir
0.500 0.000 0.000 Ir
0.500 0.500 0.500 K
0.000 0.000 0.000 W

# 2
Pr2ErTm3As6 PBE relaxed; formation enthalpy at 0 K = -17.9 eV per formula unit; total magnetic moment = 0.0 μB per cell
1.0
4.154 0.000 0.000
0.000 8.292 0.301
-2.077 -2.384 8.721
Pr Er Tm As
2 1 3 6
Direct
0.835 0.668 0.669 Pr
0.165 0.332 0.331 Pr
0.500 0.000 0.000 Er
0.500 0.500 0.000 Tm
0.833 0.166 0.665 Tm
0.167 0.834 0.335 Tm
0.334 0.927 0.667 As
0.663 0.592 0.327 As
0.666 0.073 0.333 As
0.996 0.248 0.992 As
0.004 0.752 0.008 As
0.337 0.408 0.673 As

# 3
MgPa2InN5 PBE relaxed; ΔE_f (raw) = -934 meV/atom; total magnetic moment = 0.0 μB per cell
1.0
-3.479 0.449 -0.192
0.925 -4.216 5.538
0.748 8.503 6.350
Mg Pa In N
2 4 2 10
Direct
0.511 0.022 0.983 Mg
0.489 0.978 0.483 Mg
0.879 0.758 0.746 Pa
0.135 0.269 0.703 Pa
0.121 0.242 0.246 Pa
0.865 0.731 0.203 Pa
0.780 0.559 0.481 In
0.220 0.441 0.981 In
0.367 0.734 0.067 N
0.704 0.408 0.838 N
0.484 0.968 0.784 N
0.292 0.584 0.670 N
0.934 0.867 0.553 N
0.633 0.266 0.567 N
0.296 0.592 0.338 N
0.516 0.032 0.284 N
0.708 0.416 0.170 N
0.066 0.133 0.053 N

# 4
Tl5B2Se5 PBE relaxed; ΔE_f (raw) = -88 meV/atom; total magnetic moment = 0.0 μB per cell
1.0
3.571 0.000 0.000
-1.785 7.746 0.575
0.000 -2.440 11.017
Tl B Se
5 2 5
Direct
0.500 0.000 0.500 Tl
0.659 0.319 0.074 Tl
0.763 0.526 0.369 Tl
0.237 0.474 0.631 Tl
0.341 0.681 0.926 Tl
0.019 0.038 0.804 B
0.981 0.962 0.196 B
0.097 0.194 0.300 Se
0.595 0.191 0.786 Se
0.405 0.809 0.214 Se
0.903 0.806 0.700 Se
0.000 0.000 0.000 Se

# 5
ScCdSb4 PBE relaxed; ΔE_f (raw) = 182 meV/atom; total magnetic moment = 0.0 μB per cell
1.0
5.291 -0.368 3.223
0.801 3.502 5.060
0.033 -2.630 5.621
Sc Cd Sb
1 1 4
Direct
0.750 0.750 0.750 Sc
0.000 0.000 0.000 Cd
0.875 0.375 0.375 Sb
0.375 0.375 0.875 Sb
0.375 0.875 0.375 Sb
0.375 0.375 0.375 Sb

# 6
SbWCl2 PBE relaxed; ΔE_f (raw) = 731 meV/atom; total magnetic moment = 1.1 μB per cell
1.0
4.832 0.000 0.000
2.416 4.184 0.000
2.416 1.395 3.945
Sb W Cl
1 1 2
Direct
0.500 0.500 0.500 Sb
0.250 0.250 0.250 W
0.000 0.000 0.000 Cl
0.750 0.750 0.750 Cl

# 7
Sb2AsRuSe PBE relaxed; ΔE_f (raw) = 330 meV/atom; total magnetic moment = 0.0 μB per cell
1.0
5.236 0.000 0.000
0.000 4.589 0.000
0.000 0.000 5.236
Sb As Se Ru
2 1 1 1
Direct
0.000 0.000 0.500 Sb
0.500 0.000 0.000 Sb
0.000 0.500 0.000 As
0.500 0.500 0.500 Se
0.000 0.000 0.000 Ru

# 8
CeY8Tm3 PBE relaxed; formation enthalpy at 0 K = 7.8 eV per formula unit; total magnetic moment = 0.0 μB per cell
1.0
7.520 -0.524 -3.600
-4.407 7.006 -1.131
-0.330 0.524 8.331
Ce Y Tm
1 8 3
Direct
0.000 0.000 0.000 Ce
0.466 0.203 0.203 Y
0.534 0.737 0.737 Y
0.000 0.797 0.263 Y
0.000 0.263 0.797 Y
0.252 0.363 0.363 Y
0.748 0.110 0.110 Y
0.000 0.637 0.890 Y
0.000 0.890 0.637 Y
0.500 0.750 0.250 Tm
0.500 0.250 0.750 Tm
0.000 0.500 0.500 Tm

# 9
Y2ZrCo2 PBE relaxed; formation enthalpy at 0 K = -1.1 eV per formula unit; total magnetic moment = 0.0 μB per cell
1.0
3.514 0.003 1.495
1.033 5.173 2.438
-0.377 0.653 5.762
Y Zr Co
2 1 2
Direct
0.300 0.201 0.700 Y
0.700 0.799 0.300 Y
0.500 0.500 0.000 Zr
0.000 0.201 0.299 Co
0.000 0.799 0.701 Co

# 10
Dy3MgIn12 PBE relaxed; formation enthalpy at 0 K = -4.9 eV per formula unit; total magnetic moment = 0.0 μB per cell
1.0
4.643 0.000 0.000
0.000 4.643 0.000
0.000 0.000 18.521
Dy Mg In
3 1 12
Direct
0.000 0.000 0.250 Dy
0.000 0.000 0.500 Dy
0.000 0.000 0.750 Dy
0.000 0.000 0.000 Mg
0.500 0.500 0.000 In
0.500 0.500 0.251 In
0.500 0.500 0.500 In
0.500 0.500 0.749 In
0.500 0.000 0.121 In
0.500 0.000 0.374 In
0.500 0.000 0.626 In
0.500 0.000 0.879 In
0.000 0.500 0.121 In
0.000 0.500 0.374 In
0.000 0.500 0.626 In
0.000 0.500 0.879 In

# 11
SbMo2P PBE relaxed; ΔE_f (raw) = 380 meV/atom; total magnetic moment = 0.0 μB per cell
1.0
-1.288 -0.116 4.673
-2.936 3.816 0.573
-0.217 -3.539 -3.307
Sb Mo P
1 2 1
Direct
0.750 0.250 0.500 Sb
0.000 0.000 0.000 Mo
0.250 0.750 0.500 Mo
0.500 0.500 0.000 P

# 12
Mn2Se2N PBE relaxed; ΔE_f (raw) = 95 meV/atom; total magnetic moment = 10.6 μB per cell
1.0
5.392 0.000 0.000
0.000 5.392 0.000
0.000 0.000 5.245
Mn Se N
4 4 2
Direct
0.207 0.707 0.000 Mn
0.707 0.793 0.000 Mn
0.793 0.293 0.000 Mn
0.293 0.207 0.000 Mn
0.236 0.736 0.500 Se
0.736 0.764 0.500 Se
0.764 0.264 0.500 Se
0.264 0.236 0.500 Se
0.000 0.000 0.000 N
0.500 0.500 0.000 N